No. 1
The following is a PBE calculation of crystalline HfCrFe2Ir at its relaxed geometry, from the Alexandria database.

Calculated values
DFT formation energy	2.0363	eV/atom

Lattice parameters (Å, degrees): 4.3899 4.3899 4.7929 90.00 90.00 90.00
Last column: nearest neighbours and their distance in Å.
Fractional coordinates of all 5 atoms:
Hf1 0.0000 0.0000 0.0000  4 Fe 2.19, 2 Ir 2.40
Cr1 0.5000 0.5000 0.5000  4 Ir 3.10, 8 Fe 3.25
Fe1 0.0000 0.5000 0.0000  2 Hf 2.19
Fe2 0.5000 0.0000 0.0000  2 Hf 2.19
Ir1 0.0000 0.0000 0.5000  2 Hf 2.40

No. 2
The following is a PBE calculation of crystalline LiHfCrFe2 at its relaxed geometry, from the Alexandria database.

Calculated values
DFT formation energy	1.4389	eV/atom

Lattice parameters (Å, degrees): 4.6462 4.6462 4.9850 90.00 90.00 90.00
Last column: nearest neighbours and their distance in Å.
Fractional coordinates of all 5 atoms:
Li1 0.0000 0.0000 0.0000  4 Cr 3.29, 8 Fe 3.41
Hf1 0.5000 0.5000 0.5000  4 Fe 2.32, 2 Cr 2.49
Cr1 0.5000 0.5000 0.0000  2 Hf 2.49
Fe1 0.0000 0.5000 0.5000  2 Hf 2.32
Fe2 0.5000 0.0000 0.5000  2 Hf 2.32

No. 3
The following is a PBE calculation of crystalline HfCrFe2Pd at its relaxed geometry, from the Alexandria database.

Calculated values
DFT formation energy	0.6591	eV/atom

Lattice parameters (Å, degrees): 4.1318 4.1318 4.6859 90.00 90.00 90.00
Last column: nearest neighbours and their distance in Å.
Fractional coordinates of all 5 atoms:
Hf1 0.0000 0.0000 0.0000  4 Pd 2.92, 8 Fe 3.12
Cr1 0.5000 0.5000 0.5000  4 Fe 2.07
Fe1 0.0000 0.5000 0.5000  2 Cr 2.07
Fe2 0.5000 0.0000 0.5000  2 Cr 2.07
Pd1 0.5000 0.5000 0.0000  2 Cr 2.34

No. 4
The following is a PBE calculation of crystalline HfCrFe2Sb at its relaxed geometry, from the Alexandria database.

Lattice parameters (Å, degrees): 4.6339 4.6339 4.7530 90.00 90.00 90.00
Last column: nearest neighbours and their distance in Å.
Fractional coordinates of all 5 atoms:
Hf1 0.0000 0.0000 0.0000  4 Cr 3.28, 8 Fe 3.32
Cr1 0.5000 0.5000 0.0000  2 Sb 2.38
Fe1 0.0000 0.5000 0.5000  2 Sb 2.32
Fe2 0.5000 0.0000 0.5000  2 Sb 2.32
Sb1 0.5000 0.5000 0.5000  4 Fe 2.32, 2 Cr 2.38

No. 5
The following is a PBE calculation of crystalline CrFeHg at its relaxed geometry, from the Alexandria database.

Calculated values
energy above the most stable polymorph in this dataset	0	meV per atom
DFT formation energy	0.4267	eV/atom

Lattice parameters (Å, degrees): 5.7975 5.7975 5.7975 151.08 151.08 41.35
Last column: nearest neighbours and their distance in Å.
Fractional coordinates of all 3 atoms:
Cr1 0.0000 0.0000 0.0000  4 Fe 2.41
Fe1 0.6167 0.6167 0.0000  4 Cr 2.41
Hg1 0.3048 0.3048 0.0000  4 Fe 2.89, 4 Hg 2.89, 4 Cr 2.95

No. 6
The following is a PBE calculation of crystalline CrFe2Hg at its relaxed geometry, from the Alexandria database.

Calculated values
DFT formation energy	0.4242	eV/atom

Lattice parameters (Å, degrees): 4.7914 4.7914 4.7914 133.29 133.29 68.20
Last column: nearest neighbours and their distance in Å.
Fractional coordinates of all 4 atoms:
Cr1 0.0000 0.0000 0.0000  4 Hg 2.69, 8 Fe 2.75
Fe1 0.2500 0.7500 0.5000  4 Fe 2.69, 4 Cr 2.75, 4 Hg 2.75
Fe2 0.7500 0.2500 0.5000  4 Fe 2.69, 4 Cr 2.75, 4 Hg 2.75
Hg1 0.5000 0.5000 0.0000  4 Cr 2.69, 8 Fe 2.75

No. 7
The following is a PBE calculation of crystalline CrFeHg2 at its relaxed geometry, from the Alexandria database.

Calculated values
energy above the most stable polymorph in this dataset	207	meV per atom
DFT formation energy	0.5705	eV/atom

Lattice parameters (Å, degrees): 5.6433 5.6433 5.6433 148.66 130.05 60.17
Last column: nearest neighbours and their distance in Å.
Fractional coordinates of all 4 atoms:
Cr1 0.0000 0.0000 0.0000  2 Fe 2.70, 6 Hg 2.84-2.94
Fe1 0.2281 0.7281 0.5000  2 Cr 2.70, 6 Hg 2.83-2.84
Hg1 0.4735 0.4735 0.0000  2 Fe 2.84, 4 Cr 2.84, 4 Hg 3.04-3.05
Hg2 0.7431 0.2431 0.5000  4 Fe 2.83, 2 Cr 2.94, 4 Hg 3.04-3.05

No. 8
The following is a PBE calculation of crystalline CrFeHg at its relaxed geometry, from the Alexandria database.

Calculated values
energy above the most stable polymorph in this dataset	136	meV per atom
DFT formation energy	0.5628	eV/atom

Lattice parameters (Å, degrees): 4.3373 4.3373 2.8426 90.00 90.00 120.00
Last column: nearest neighbours and their distance in Å.
Fractional coordinates of all 3 atoms:
Cr1 0.0000 0.0000 0.0000  3 Fe 2.51
Fe1 0.6667 0.3333 0.0730  3 Cr 2.51
Hg1 0.3333 0.6667 0.5312  6 Fe 2.82-2.94, 6 Cr 2.84-2.92, 2 Hg 2.84

No. 9
The following is a PBE calculation of crystalline CrFeHg2 at its relaxed geometry, from the Alexandria database.

Calculated values
energy above the most stable polymorph in this dataset	0	meV per atom
DFT formation energy	0.3634	eV/atom

Lattice parameters (Å, degrees): 2.9854 2.9574 8.1201 90.00 100.18 90.00
Last column: nearest neighbours and their distance in Å.
Fractional coordinates of all 4 atoms:
Cr1 0.0000 0.0000 0.0000  4 Fe 2.44
Fe1 0.4251 0.5000 0.8456  4 Cr 2.44
Hg1 0.6251 0.5000 0.2591  4 Cr 2.95, 6 Hg 2.96-3.09
Hg2 0.8066 0.0000 0.5984  4 Fe 2.88, 6 Hg 2.96-3.09, 1 Cr 3.21

No. 10
The following is a PBE calculation of crystalline CrFeHg2 at its relaxed geometry, from the Alexandria database.

Calculated values
energy above the most stable polymorph in this dataset	156	meV per atom
DFT formation energy	0.5191	eV/atom

Lattice parameters (Å, degrees): 3.0472 3.0472 7.5489 90.00 90.00 90.00
Last column: nearest neighbours and their distance in Å.
Fractional coordinates of all 4 atoms:
Cr1 0.0000 0.0000 0.0000  8 Hg 2.89, 4 Cr 3.05
Fe1 0.0000 0.0000 0.5000  8 Hg 2.83, 4 Fe 3.05
Hg1 0.5000 0.5000 0.2560  4 Fe 2.83, 4 Cr 2.89, 4 Hg 3.05
Hg2 0.5000 0.5000 0.7440  4 Fe 2.83, 4 Cr 2.89, 4 Hg 3.05

No. 11
The following is a PBE calculation of crystalline CrFe2Hg at its relaxed geometry, from the Alexandria database.

Calculated values
DFT formation energy	0.4726	eV/atom

Lattice parameters (Å, degrees): 4.6417 4.6417 4.6681 102.23 102.23 36.48
Last column: nearest neighbours and their distance in Å.
Fractional coordinates of all 4 atoms:
Cr1 0.0000 0.0000 0.0000  6 Fe 2.57-2.66, 4 Hg 2.75
Fe1 0.2590 0.2590 0.7972  2 Fe 2.42, 3 Cr 2.57-2.66
Fe2 0.7410 0.7410 0.2028  2 Fe 2.42, 3 Cr 2.57-2.66
Hg1 0.5000 0.5000 0.5000  4 Cr 2.75, 6 Fe 2.78-2.80, 2 Hg 2.91

No. 12
The following is a PBE calculation of crystalline CrFe2Hg at its relaxed geometry, from the Alexandria database.

Calculated values
DFT formation energy	0.5792	eV/atom

Lattice parameters (Å, degrees): 4.3646 4.3646 4.3646 60.00 60.00 60.00
Last column: nearest neighbours and their distance in Å.
Fractional coordinates of all 4 atoms:
Cr1 0.0000 0.0000 0.0000  4 Hg 2.67, 4 Fe 2.67
Fe1 0.5000 0.5000 0.5000  4 Hg 2.67, 4 Fe 2.67
Fe2 0.7500 0.7500 0.7500  4 Cr 2.67, 4 Fe 2.67
Hg1 0.2500 0.2500 0.2500  4 Cr 2.67, 4 Fe 2.67

no.,calculated volume (A^3/atom),E (Ry/atom),density of states at the Fermi level (states/eV per cell)
1,18.47,-0.51716,16.15
2,21.52,-0.45895,6.31
3,16.00,-0.56447,6.46
4,20.41,-0.50600,8.37
5,15.15,-0.41913,2.85
6,14.31,-0.46219,4.94
7,17.74,-0.30148,3.76
8,15.44,-0.40913,2.71
9,17.64,-0.31670,2.72
10,17.52,-0.30526,3.27
11,14.57,-0.45864,4.30
12,14.70,-0.45080,6.48